1.
VASP calculation (PBE with a Hubbard U) on an optimized crystal structure of HgMoO3.

The space group is Pm-3m (No. 221) and the conventional cell measures 3.973, 3.973 and 3.973 Å, with angles of 90.00, 90.00 and 90.00 degrees. The inequivalent atoms are Hg at (0.000, 0.000, 0.000), Mo at (0.500, 0.500, 0.500) and O at (0.000, 0.500, 0.500).

The value obtained for the spin magnetization is 0.0 Bohr magnetons per cell. The total DFT energy (no corrections) comes out at -26.752 eV per formula unit.

2.
VASP calculation (PBE with a Hubbard U) on an optimized crystal structure of HgMoO6.

The space group is Fm-3m (No. 225) and the conventional cell measures 8.357, 8.357 and 8.357 Å, with angles of 90.00, 90.00 and 90.00 degrees. The inequivalent atoms are Hg at (0.000, 0.000, 0.000), Mo at (0.000, 0.000, 0.500) and O at (0.000, 0.000, 0.272).

The value obtained for the spin magnetization is 16.1 Bohr magnetons per cell. The total DFT energy (no corrections) comes out at -38.606 eV per formula unit.

3.
VASP calculation (PBE with a Hubbard U) on an optimized crystal structure of Hg3Mo5O12.

The space group is Ia-3d (No. 230) and the conventional cell measures 14.038, 14.038 and 14.038 Å, with angles of 90.00, 90.00 and 90.00 degrees. The inequivalent atoms are Hg at (0.000, 0.250, 0.125), Mo at (0.000, 0.000, 0.000), Mo at (0.000, 0.250, 0.375) and O at (0.020, 0.147, 0.950).

The value obtained for the spin magnetization is 48.1 Bohr magnetons per cell. The total DFT energy (no corrections) comes out at -120.233 eV per formula unit.

4.
VASP calculation (PBE with a Hubbard U) on an optimized crystal structure of Hg2Mo2O7.

The space group is P-1 (No. 2) and the conventional cell measures 7.260, 7.382 and 8.369 Å, with angles of 115.46, 92.04 and 113.96 degrees. The inequivalent atoms are Hg at (0.133, 0.294, 0.121), Hg at (0.330, 0.194, 0.871), Mo at (0.190, 0.492, 0.621), Mo at (0.316, 0.002, 0.370), O at (0.021, 0.650, 0.661), O at (0.101, 0.764, 0.361), O at (0.220, 0.221, 0.493), O at (0.259, 0.955, 0.147), O at (0.300, 0.578, 0.846), O at (0.397, 0.676, 0.571) and O at (0.478, 0.112, 0.654).

The value obtained for the spin magnetization is 0.0 Bohr magnetons per cell. The total DFT energy (no corrections) comes out at -62.873 eV per formula unit.

5.
VASP calculation (PBE with a Hubbard U) on an optimized crystal structure of HgMo3O.

The space group is Pm-3m (No. 221) and the conventional cell measures 4.229, 4.229 and 4.229 Å, with angles of 90.00, 90.00 and 90.00 degrees. The inequivalent atoms are Hg at (0.000, 0.000, 0.000), Mo at (0.000, 0.500, 0.500) and O at (0.500, 0.500, 0.500).

The value obtained for the spin magnetization is 0.3 Bohr magnetons per cell. The total DFT energy (no corrections) comes out at -22.955 eV per formula unit.

6.
VASP calculation (PBE with a Hubbard U) on an optimized crystal structure of Hg2MoO4.

The space group is I-42m (No. 121) and the conventional cell measures 4.604, 4.604 and 12.244 Å, with angles of 90.00, 90.00 and 90.00 degrees. The inequivalent atoms are Hg at (0.000, 0.500, 0.250), Mo at (0.000, 0.000, 0.000) and O at (0.222, 0.222, 0.089).

The value obtained for the spin magnetization is 0.0 Bohr magnetons per cell. The total DFT energy (no corrections) comes out at -33.274 eV per formula unit.

7.
VASP calculation (PBE with a Hubbard U) on an optimized crystal structure of Hg3MoO6.

The space group is Cmc2_1 (No. 36) and the conventional cell measures 9.141, 13.693 and 6.307 Å, with angles of 90.00, 90.00 and 90.00 degrees. The inequivalent atoms are Hg at (0.000, 0.039, 0.000), Hg at (0.185, 0.422, 0.908), Mo at (0.000, 0.305, 0.349), O at (0.000, 0.351, 0.058), O at (0.000, 0.404, 0.535), O at (0.157, 0.233, 0.390) and O at (0.175, 0.013, 0.740).

The value obtained for the spin magnetization is 0.0 Bohr magnetons per cell. The total DFT energy (no corrections) comes out at -44.998 eV per formula unit.

8.
VASP calculation (PBE with a Hubbard U) on an optimized crystal structure of HgMo3O.

The space group is Pm-3m (No. 221) and the conventional cell measures 5.540, 5.540 and 5.540 Å, with angles of 90.00, 90.00 and 90.00 degrees. The inequivalent atoms are Hg at (0.000, 0.000, 0.000), Mo at (0.000, 0.000, 0.500) and O at (0.500, 0.500, 0.500).

The value obtained for the spin magnetization is 13.3 Bohr magnetons per cell. The total DFT energy (no corrections) comes out at -15.561 eV per formula unit.